NaBC PBE relaxed; raw total energy = -5.17 eV/atom; symmetry = R-3m (166)
1.0
2.2972 0.0000 4.9970
-1.1486 1.9894 4.9970
-1.1486 -1.9894 4.9970
C Na B
2 2 2
Direct
0.0425 0.0425 0.0425
0.9575 0.9575 0.9575
0.4062 0.4062 0.4062
0.5938 0.5938 0.5938
0.8545 0.8545 0.8545
0.1455 0.1455 0.1455